Fe2CuAg after structural relaxation, computed with GGA-PBE.

Cell and atoms, written as extended XYZ:
```
4
Lattice="5.074 -0.028 -0.037 2.519 4.405 0.037 -3.349 -2.964 2.397" Properties=species:S:1:pos:R:3 pbc="T T T"
Ag 1.483 1.815 1.217
Fe 7.516 4.332 0.000
Fe 3.874 2.233 0.000
Cu 2.761 -0.402 1.180
```

calculated formation energy	0.3246	eV per atom
energy above the lowest structure with this stoichiometry	0.42	eV/f.u.
N(E_F)	2.95	states/eV/cell

---

Fe2CuAg after structural relaxation, computed with GGA-PBE.

Cell and atoms, written as extended XYZ:
```
4
Lattice="-2.789 -2.531 1.250 -0.096 -1.548 -3.349 2.624 -2.384 1.027" Properties=species:S:1:pos:R:3 pbc="T T T"
Fe 1.264 -1.966 -1.161
Ag -1.442 -2.039 -1.050
Cu -0.082 -2.458 1.138
Fe 0.000 0.000 0.000
```

calculated formation energy	0.3229	eV per atom
energy above the lowest structure with this stoichiometry	0.41	eV/f.u.
N(E_F)	3.56	states/eV/cell

---

FeCu4Ag after structural relaxation, computed with GGA-PBE.

Cell and atoms, written as extended XYZ:
```
6
Lattice="0.000 3.421 3.421 3.421 0.000 3.421 3.421 3.421 0.000" Properties=species:S:1:pos:R:3 pbc="T T T"
Fe 5.132 5.132 5.132
Cu 4.275 4.275 2.568
Ag 0.000 0.000 0.000
Cu 2.568 4.275 4.275
Cu 4.275 2.568 4.275
Cu 2.568 2.568 2.568
```

calculated formation energy	0.2180	eV per atom
N(E_F)	3.97	states/eV/cell